1.
## YCr2Te (GGA-PBEsol)

Data for a relaxed YCr2Te crystal.

Geometry as POSCAR:
```
YCr2Te
1.0
-1.888 -3.624 -1.488
3.568 -2.273 1.009
-1.425 -0.689 3.486
Cr Te Y
2 1 1
direct
0.000 0.000 0.000
0.500 0.500 0.000
0.500 0.000 0.500
0.000 0.500 0.500
```

**Formation energy without anion corrections**: 0.29 eV/atom
**Offset from the most stable computed form**: 0.000 eV/atom

2.
## Y2CrTe (GGA-PBEsol)

Data for a relaxed Y2CrTe crystal.

Geometry as POSCAR:
```
Y2CrTe
1.0
-0.915 3.450 1.166
-3.463 -0.453 -1.379
-2.050 -2.571 5.993
Cr Te Y
1 1 2
direct
0.500 0.500 0.000
0.500 0.500 0.500
0.000 0.000 0.758
0.000 0.000 0.242
```

**Formation energy without anion corrections**: -0.32 eV/atom

3.
## YCr2Te (GGA-PBEsol)

Data for a relaxed YCr2Te crystal.

Geometry as POSCAR:
```
YCr2Te
1.0
-4.201 -1.259 2.169
-1.804 -4.510 -0.593
0.027 -3.158 3.738
Cr Te Y
2 1 1
direct
0.000 0.000 0.000
0.750 0.750 0.750
0.500 0.500 0.500
0.250 0.250 0.250
```

**Formation energy without anion corrections**: 0.38 eV/atom
**Offset from the most stable computed form**: 0.093 eV/atom

4.
## TiCr2 (GGA-PBEsol)

Data for a relaxed TiCr2 crystal.

Geometry as POSCAR:
```
TiCr2
1.0
-2.634 -1.801 -3.571
2.145 -1.835 -3.868
-0.081 -4.726 -0.767
Cr Ti
4 2
direct
0.625 0.625 0.625
0.125 0.625 0.625
0.625 0.125 0.625
0.625 0.625 0.125
0.000 0.000 0.000
0.250 0.250 0.250
```

**Offset from the most stable computed form**: 0.000 eV/atom

5.
## TiCr2 (GGA-PBEsol)

Data for a relaxed TiCr2 crystal.

Geometry as POSCAR:
```
TiCr2
1.0
4.824 0.000 0.000
-2.412 4.178 0.000
0.000 0.000 7.710
Ti Cr
4 8
direct
0.333 0.667 0.060
0.667 0.333 0.940
0.667 0.333 0.560
0.333 0.667 0.440
0.000 0.000 0.000
0.000 0.000 0.500
0.830 0.170 0.250
0.340 0.170 0.250
0.830 0.660 0.250
0.170 0.830 0.750
0.660 0.830 0.750
0.170 0.340 0.750
```

**Offset from the most stable computed form**: 0.019 eV/atom

6.
## TiZn3Cr (GGA-PBEsol)

Data for a relaxed TiZn3Cr crystal.

Geometry as POSCAR:
```
TiZn3Cr
1.0
-0.059 -4.347 -0.926
2.567 0.723 -3.556
3.629 -0.582 2.501
Cr Zn Ti
1 3 1
direct
0.000 0.000 0.000
0.000 0.500 0.000
0.000 0.000 0.500
0.500 0.000 0.000
0.500 0.500 0.500
```

**Calculated total energy**: -3.696 eV per atom

7.
## ZrTiCr2 (GGA-PBEsol)

Data for a relaxed ZrTiCr2 crystal.

Geometry as POSCAR:
```
ZrTiCr2
1.0
-4.070 -0.131 1.640
-1.298 -3.455 2.378
-0.639 0.426 4.323
Cr Zr Ti
2 1 1
direct
0.250 0.250 0.250
0.750 0.750 0.750
0.500 0.500 0.500
0.000 0.000 0.000
```

**Calculated total energy**: -9.265 eV per atom

8.
## ZrTiCr4 (GGA-PBEsol)

Data for a relaxed ZrTiCr4 crystal.

Geometry as POSCAR:
```
ZrTiCr4
1.0
4.927 0.000 0.000
-2.463 4.267 0.000
0.000 0.000 7.850
Zr Ti Cr
2 2 8
direct
0.333 0.667 0.065
0.667 0.333 0.935
0.667 0.333 0.556
0.333 0.667 0.444
0.000 0.000 0.500
0.000 0.000 0.000
0.169 0.338 0.740
0.169 0.831 0.740
0.662 0.831 0.740
0.831 0.662 0.260
0.831 0.169 0.260
0.338 0.169 0.260
```

**Offset from the most stable computed form**: 0.016 eV/atom